# LiNi2TeH

Crystalline LiNi2TeH at its relaxed geometry (PBE, Alexandria via LeMat-Bulk).

DOS at the Fermi energy in states/eV per cell: 3.74
Uncorrected energy in eV/cell: -19.6

```
data_LiNi2TeH
_cell_length_a 3.727
_cell_length_b 3.727
_cell_length_c 4.413
_cell_angle_alpha 90.00
_cell_angle_beta 90.00
_cell_angle_gamma 90.00
_symmetry_space_group_name_H-M 'P 4/m m m'
_symmetry_Int_Tables_number 123
_symmetry_space_group_name_Hall '-P 4 2'
loop_
_atom_site_label
_atom_site_type_symbol
_atom_site_fract_x
_atom_site_fract_y
_atom_site_fract_z
Li1 Li 0.000 0.000 0.000
Ni1 Ni 0.000 0.500 0.500
Te1 Te 0.500 0.500 0.000
H1 H 0.500 0.500 0.500
```